# LiTmLuCo

Crystalline LiTmLuCo at its relaxed geometry (PBE, the Alexandria database).

Calculated values
Electronic total energy: -4.6311 eV per atom
ΔE_f: -0.128 eV/atom

```
data_LiTmLuCo
_space_group_name_H-M_alt 'F -4 3 m'
_space_group_IT_number 216
_space_group_name_Hall 'F -4 2 3'
_cell_length_a 6.742
_cell_length_b 6.742
_cell_length_c 6.742
_cell_angle_alpha 90.00
_cell_angle_beta 90.00
_cell_angle_gamma 90.00
loop_
_atom_site_label
_atom_site_fract_x
_atom_site_fract_y
_atom_site_fract_z
_atom_site_occupancy
Li1 0.000 0.000 0.000 1
Tm1 0.250 0.250 0.750 1
Lu1 0.250 0.250 0.250 1
Co1 0.000 0.000 0.500 1
```


# TiInBi2Sb

Crystalline TiInBi2Sb at its relaxed geometry (PBE, the Alexandria database).

Calculated values
Electronic total energy: -3.5670 eV per atom

```
data_TiInBi2Sb
_space_group_name_H-M_alt 'P 4/m m m'
_space_group_IT_number 123
_space_group_name_Hall '-P 4 2'
_cell_length_a 5.706
_cell_length_b 5.706
_cell_length_c 5.221
_cell_angle_alpha 90.00
_cell_angle_beta 90.00
_cell_angle_gamma 90.00
loop_
_atom_site_label
_atom_site_fract_x
_atom_site_fract_y
_atom_site_fract_z
_atom_site_occupancy
Ti1 0.000 0.000 0.000 1
In1 0.000 0.000 0.500 1
Bi1 0.000 0.500 0.500 1
Sb1 0.500 0.500 0.000 1
```


# TbNd2Sm

Crystalline TbNd2Sm at its relaxed geometry (PBE, the Alexandria database).

Calculated values
Electronic total energy: -4.7096 eV per atom
ΔE_f: 0.012 eV/atom
Energy above the lowest structure with this stoichiometry: 0.000 eV/atom

```
data_TbNd2Sm
_space_group_name_H-M_alt 'R -3 m'
_space_group_IT_number 166
_space_group_name_Hall '-R 3 2"'
_cell_length_a 3.6398
_cell_length_b 3.6398
_cell_length_c 35.5372
_cell_angle_alpha 90.00
_cell_angle_beta 90.00
_cell_angle_gamma 120.00
loop_
_atom_site_label
_atom_site_fract_x
_atom_site_fract_y
_atom_site_fract_z
_atom_site_occupancy
Tb1 0.0000 0.0000 0.0000 1
Nd1 0.0000 0.0000 0.2507 1
Sm1 0.0000 0.0000 0.5000 1
```


# KOsN2F

Crystalline KOsN2F at its relaxed geometry (PBE, the Alexandria database).

Calculated values
Electronic total energy: -6.5094 eV per atom
Energy above the lowest structure with this stoichiometry: 0.000 eV/atom

```
data_KOsN2F
_space_group_name_H-M_alt 'P 4/m m m'
_space_group_IT_number 123
_space_group_name_Hall '-P 4 2'
_cell_length_a 3.805
_cell_length_b 3.805
_cell_length_c 5.009
_cell_angle_alpha 90.00
_cell_angle_beta 90.00
_cell_angle_gamma 90.00
loop_
_atom_site_label
_atom_site_fract_x
_atom_site_fract_y
_atom_site_fract_z
_atom_site_occupancy
K1 0.000 0.000 0.000 1
Os1 0.500 0.500 0.500 1
N1 0.000 0.500 0.500 1
F1 0.500 0.500 0.000 1
```


# DyHSe2

Crystalline DyHSe2 at its relaxed geometry (PBE, the Alexandria database).

Calculated values
Electronic total energy: -4.8628 eV per atom
Energy above the lowest structure with this stoichiometry: 0.000 eV/atom

```
data_DyHSe2
_space_group_name_H-M_alt 'P 1 21 1'
_space_group_IT_number 4
_cell_length_a 5.494
_cell_length_b 4.943
_cell_length_c 7.413
_cell_angle_alpha 90.00
_cell_angle_beta 110.16
_cell_angle_gamma 90.00
loop_
_space_group_symop_operation_xyz
'x,y,z'
'-x,y+1/2,-z'
loop_
_atom_site_label
_atom_site_fract_x
_atom_site_fract_y
_atom_site_fract_z
_atom_site_occupancy
Dy1 0.166 0.000 0.332 1
H1 0.432 0.623 0.029 1
Se1 0.209 0.822 0.975 1
Se2 0.272 0.497 0.535 1
```


# CeDy2Tm3

Crystalline CeDy2Tm3 at its relaxed geometry (PBE, the Alexandria database).

Calculated values
Electronic total energy: -4.6050 eV per atom
ΔE_f: 0.154 eV/atom
Energy above the lowest structure with this stoichiometry: 0.000 eV/atom

```
data_CeDy2Tm3
_space_group_name_H-M_alt 'C 1 2/m 1'
_space_group_IT_number 12
_cell_length_a 17.729
_cell_length_b 3.411
_cell_length_c 13.937
_cell_angle_alpha 90.00
_cell_angle_beta 118.27
_cell_angle_gamma 90.00
loop_
_space_group_symop_operation_xyz
'x,y,z'
'-x,-y,-z'
'-x,y,-z'
'x,-y,z'
'x+1/2,y+1/2,z'
'-x+1/2,-y+1/2,-z'
'-x+1/2,y+1/2,-z'
'x+1/2,-y+1/2,z'
loop_
_atom_site_label
_atom_site_fract_x
_atom_site_fract_y
_atom_site_fract_z
_atom_site_occupancy
Ce1 0.048 0.000 0.113 1
Dy1 0.157 0.000 0.964 1
Dy2 0.178 0.500 0.381 1
Tm1 0.041 0.500 0.709 1
Tm2 0.100 0.000 0.528 1
Tm3 0.241 0.000 0.792 1
```